Record 1
The following is a DFT calculation (PBEsol) of a relaxed ScH3Pd crystal.

Geometry as POSCAR:
```
ScH3Pd
1.0
3.627 0.000 0.000
0.000 3.627 0.000
0.000 0.000 3.627
Sc H Pd
1 3 1
direct
0.000 0.000 0.000 Sc
0.000 0.000 0.500 H
0.000 0.500 0.000 H
0.500 0.000 0.000 H
0.500 0.500 0.500 Pd
```

Computed properties:
Mass density   5.4 g cm⁻³
VASP energy   -4.50 eV/atom

Record 2
The following is a DFT calculation (PBEsol) of a relaxed Ta2Hg2P crystal.

Geometry as POSCAR:
```
Ta2Hg2P
1.0
-1.828 1.828 7.283
1.828 -1.828 7.283
1.828 1.828 -7.283
Ta Hg P
2 2 1
direct
0.086 0.086 0.000 Ta
0.914 0.914 0.000 Ta
0.250 0.750 0.500 Hg
0.750 0.250 0.500 Hg
0.500 0.500 0.000 P
```

Computed properties:
Mass density   13.5 g cm⁻³
ΔE_f   55.5 kJ per mole of atoms

Record 3
The following is a DFT calculation (PBEsol) of a relaxed BaSr2As crystal.

Geometry as POSCAR:
```
BaSr2As
1.0
4.363 0.000 0.000
0.000 2.521 7.826
0.000 -2.521 7.826
Ba Sr As
1 2 1
direct
0.000 0.000 0.000 Ba
0.000 0.683 0.683 Sr
0.500 0.344 0.344 Sr
0.500 0.541 0.541 As
```

Computed properties:
Mass density   3.7 g cm⁻³
ΔE_f   -56.3 kJ per mole of atoms

Record 4
The following is a DFT calculation (PBEsol) of a relaxed KSmO2 crystal.

Geometry as POSCAR:
```
KSmO2
1.0
1.770 1.022 6.186
-1.770 1.022 6.186
0.000 -2.044 6.186
K Sm O
1 1 2
direct
0.000 0.000 0.000 K
0.500 0.500 0.500 Sm
0.230 0.230 0.230 O
0.770 0.770 0.770 O
```

Computed properties:
Formation energy from raw total energies   -2697 meV per atom
Mass density   5.5 g cm⁻³

Record 5
The following is a DFT calculation (PBEsol) of a relaxed VBr3 crystal.

Geometry as POSCAR:
```
VBr3
1.0
9.611 0.000 0.000
-4.806 8.324 0.000
0.000 0.000 3.316
V Br
2 6
direct
0.333 0.667 0.250 V
0.667 0.333 0.750 V
0.219 0.438 0.750 Br
0.219 0.781 0.750 Br
0.438 0.219 0.250 Br
0.562 0.781 0.750 Br
0.781 0.219 0.250 Br
0.781 0.562 0.250 Br
```

Computed properties:
Formation energy from raw total energies   -711 meV per atom
Mass density   3.6 g cm⁻³

Record 6
The following is a DFT calculation (PBEsol) of a relaxed LaMgAl2 crystal.

Geometry as POSCAR:
```
LaMgAl2
1.0
3.056 0.000 0.000
0.000 4.201 0.000
0.000 0.000 6.961
La Mg Al
1 1 2
direct
0.000 0.000 0.000 La
0.000 0.000 0.500 Mg
0.500 0.500 0.298 Al
0.500 0.500 0.702 Al
```

Computed properties:
Mass density   4.0 g cm⁻³
ΔE_f   -19.0 kJ per mole of atoms

- Which of these has the highest mass density?
  Ta2Hg2P